[1]
LaReAs2 | Alexandria via LeMat-Bulk | PBE | optimized geometry; SG = P4mm; DOS at the Fermi energy = 3.19 states/eV/cell; relative energy among the computed polymorphs = 472 meV/atom
1.0
3.405 0.000 0.000
0.000 3.405 0.000
0.000 0.000 6.985
La Re As
1 1 2
Direct
0.000 0.000 0.000
0.500 0.500 0.330
0.000 0.000 0.472
0.500 0.500 0.710

***

[2]
CaMgCd2Ag4 | Alexandria via LeMat-Bulk | PBE | optimized geometry; SG = R-3m; DOS at the Fermi energy = 2.21 states/eV/cell; DFT total energy = -2.30 eV/atom
1.0
2.440 1.409 7.912
-2.440 1.409 7.912
0.000 -2.817 7.912
Ca Mg Cd Ag
1 1 2 4
Direct
0.000 0.000 0.000
0.500 0.500 0.500
0.252 0.252 0.252
0.748 0.748 0.748
0.131 0.131 0.131
0.382 0.382 0.382
0.618 0.618 0.618
0.869 0.869 0.869

***

[3]
GdZrCoIr | Alexandria via LeMat-Bulk | PBE | optimized geometry; SG = F-43m; DOS at the Fermi energy = 3.23 states/eV/cell; DFT total energy = -10.09 eV/atom
1.0
0.000 3.346 3.346
3.346 0.000 3.346
3.346 3.346 0.000
Gd Zr Co Ir
1 1 1 1
Direct
0.000 0.000 0.000
0.500 0.500 0.500
0.250 0.250 0.250
0.750 0.750 0.750

***

[4]
K2LaAuF | Alexandria via LeMat-Bulk | PBE | optimized geometry; SG = P4/mmm; DOS at the Fermi energy = 4.12 states/eV/cell; formation energy from raw total energies = 0.006 eV/atom
1.0
7.605 0.000 0.000
0.000 7.605 0.000
0.000 0.000 5.511
K La Au F
2 1 1 1
Direct
0.000 0.500 0.000
0.500 0.000 0.000
0.000 0.000 0.000
0.000 0.000 0.500
0.500 0.500 0.500

***

[5]
Cs2Na4Cl | Alexandria via LeMat-Bulk | PBE | optimized geometry; SG = I4/mmm; DOS at the Fermi energy = 5.79 states/eV/cell; formation energy from raw total energies = -0.358 eV/atom
1.0
-2.866 2.866 12.279
2.866 -2.866 12.279
2.866 2.866 -12.279
Cs Na Cl
2 4 1
Direct
0.183 0.183 0.000
0.817 0.817 0.000
0.000 0.500 0.500
0.385 0.385 0.000
0.500 0.000 0.500
0.615 0.615 0.000
0.500 0.500 0.000

***

[6]
Sm3Tl5H12 | Alexandria via LeMat-Bulk | PBE | optimized geometry; SG = Ia-3d; DOS at the Fermi energy = 22.21 states/eV/cell; DFT total energy = -3.26 eV/atom
1.0
-6.750 6.750 6.750
6.750 -6.750 6.750
6.750 6.750 -6.750
Sm Tl H
12 20 48
Direct
0.125 0.250 0.375
0.125 0.375 0.750
0.250 0.375 0.125
0.250 0.875 0.625
0.375 0.125 0.250
0.375 0.750 0.125
0.625 0.250 0.875
0.625 0.875 0.750
0.750 0.125 0.375
0.750 0.625 0.875
0.875 0.625 0.250
0.875 0.750 0.625
0.000 0.000 0.000
0.000 0.000 0.500
0.000 0.500 0.000
0.000 0.500 0.500
0.125 0.750 0.875
0.125 0.875 0.250
0.250 0.125 0.875
0.250 0.625 0.375
0.375 0.250 0.625
0.375 0.625 0.750
0.500 0.000 0.000
0.500 0.000 0.500
0.500 0.500 0.000
0.500 0.500 0.500
0.625 0.375 0.250
0.625 0.750 0.375
0.750 0.375 0.625
0.750 0.875 0.125
0.875 0.125 0.750
0.875 0.250 0.125
0.077 0.663 0.416
0.077 0.914 0.661
0.084 0.747 0.661
0.084 0.837 0.423
0.086 0.247 0.163
0.086 0.339 0.923
0.161 0.247 0.584
0.161 0.414 0.577
0.163 0.086 0.247
0.163 0.577 0.916
0.247 0.163 0.086
0.247 0.584 0.161
0.253 0.339 0.916
0.253 0.414 0.337
0.337 0.253 0.414
0.337 0.584 0.923
0.339 0.916 0.253
0.339 0.923 0.086
0.414 0.337 0.253
0.414 0.577 0.161
0.416 0.077 0.663
0.416 0.839 0.753
0.423 0.084 0.837
0.423 0.839 0.586
0.577 0.161 0.414
0.577 0.916 0.163
0.584 0.161 0.247
0.584 0.923 0.337
0.586 0.423 0.839
0.586 0.663 0.747
0.661 0.077 0.914
0.661 0.084 0.747
0.663 0.416 0.077
0.663 0.747 0.586
0.747 0.586 0.663
0.747 0.661 0.084
0.753 0.416 0.839
0.753 0.837 0.914
0.837 0.423 0.084
0.837 0.914 0.753
0.839 0.586 0.423
0.839 0.753 0.416
0.914 0.661 0.077
0.914 0.753 0.837
0.916 0.163 0.577
0.916 0.253 0.339
0.923 0.086 0.339
0.923 0.337 0.584

***

[7]
Co3PI | Alexandria via LeMat-Bulk | PBE | optimized geometry; SG = Pm-3m; DOS at the Fermi energy = 8.50 states/eV/cell; formation energy from raw total energies = 1.653 eV/atom; relative energy among the computed polymorphs = 1142 meV/atom
1.0
4.621 0.000 0.000
0.000 4.621 0.000
0.000 0.000 4.621
Co P I
3 1 1
Direct
0.000 0.000 0.500
0.000 0.500 0.000
0.500 0.000 0.000
0.500 0.500 0.500
0.000 0.000 0.000

***

[8]
Ce3ThSc6 | Alexandria via LeMat-Bulk | PBE | optimized geometry; SG = P1; DOS at the Fermi energy = 19.81 states/eV/cell; DFT total energy = -6.12 eV/atom
1.0
6.343 0.000 0.000
-0.520 6.387 0.000
-0.474 -0.085 6.443
Ce Th Sc
3 1 6
Direct
0.000 0.000 0.000
0.107 0.223 0.350
0.636 0.755 0.872
0.504 0.373 0.629
0.017 0.443 0.812
0.219 0.850 0.604
0.331 0.653 0.181
0.510 0.184 0.089
0.717 0.961 0.467
0.834 0.548 0.277

***

[9]
BeFeCu2 | Alexandria via LeMat-Bulk | PBE | optimized geometry; SG = I-4m2; DOS at the Fermi energy = 3.42 states/eV/cell; DFT total energy = -4.97 eV/atom
1.0
-1.867 1.867 3.158
1.867 -1.867 3.158
1.867 1.867 -3.158
Be Fe Cu
1 1 2
Direct
0.000 0.000 0.000
0.750 0.250 0.500
0.250 0.750 0.500
0.500 0.500 0.000

***

[10]
NdGa2SiPd4 | Alexandria via LeMat-Bulk | PBE | optimized geometry; SG = R-3m; DOS at the Fermi energy = 5.94 states/eV/cell; formation energy from raw total energies = -0.679 eV/atom
1.0
2.161 1.248 8.715
-2.161 1.248 8.715
0.000 -2.496 8.715
Nd Ga Si Pd
1 2 1 4
Direct
0.000 0.000 0.000
0.250 0.250 0.250
0.750 0.750 0.750
0.500 0.500 0.500
0.139 0.139 0.139
0.408 0.408 0.408
0.592 0.592 0.592
0.861 0.861 0.861

***

[11]
LaCd2Ag2 | Alexandria via LeMat-Bulk | PBE | optimized geometry; SG = I4/mmm; DOS at the Fermi energy = 4.34 states/eV/cell; relative energy among the computed polymorphs = 67 meV/atom
1.0
-2.198 2.198 6.373
2.198 -2.198 6.373
2.198 2.198 -6.373
La Cd Ag
1 2 2
Direct
0.000 0.000 0.000
0.389 0.389 0.000
0.611 0.611 0.000
0.250 0.750 0.500
0.750 0.250 0.500

***

[12]
AlTcAu | Alexandria via LeMat-Bulk | PBE | optimized geometry; SG = P-6m2; DOS at the Fermi energy = 3.65 states/eV/cell; relative energy among the computed polymorphs = 381 meV/atom
1.0
4.397 0.000 0.000
-2.199 3.808 0.000
0.000 0.000 2.828
Al Tc Au
1 1 1
Direct
0.000 0.000 0.000
0.333 0.667 0.500
0.667 0.333 0.000

***

[13]
SrH | Alexandria via LeMat-Bulk | PBE | optimized geometry; SG = P6_3/m; DOS at the Fermi energy = 2.12 states/eV/cell; DFT total energy = -2.82 eV/atom
1.0
9.483 0.000 0.000
-4.742 8.213 0.000
0.000 0.000 4.162
Sr H
6 6
Direct
0.108 0.698 0.250
0.302 0.410 0.250
0.410 0.108 0.750
0.590 0.892 0.250
0.698 0.590 0.750
0.892 0.302 0.750
0.047 0.414 0.250
0.368 0.953 0.250
0.414 0.368 0.750
0.586 0.632 0.250
0.632 0.047 0.750
0.953 0.586 0.750

***

[14]
Tb12Dy6Sc | Alexandria via LeMat-Bulk | PBE | optimized geometry; SG = R-3; DOS at the Fermi energy = 33.27 states/eV/cell; relative energy among the computed polymorphs = 0 meV/atom
1.0
5.935 3.426 5.007
-5.935 3.426 5.007
0.000 -6.853 5.007
Tb Dy Sc
12 6 1
Direct
0.015 0.194 0.357
0.194 0.357 0.015
0.221 0.461 0.563
0.357 0.015 0.194
0.437 0.779 0.539
0.461 0.563 0.221
0.539 0.437 0.779
0.563 0.221 0.461
0.643 0.985 0.806
0.779 0.539 0.437
0.806 0.643 0.985
0.985 0.806 0.643
0.095 0.700 0.259
0.259 0.095 0.700
0.300 0.741 0.905
0.700 0.259 0.095
0.741 0.905 0.300
0.905 0.300 0.741
0.000 0.000 0.000

***

[15]
LiBe3 | Alexandria via LeMat-Bulk | PBE | optimized geometry; SG = Pm-3n; DOS at the Fermi energy = 3.37 states/eV/cell; relative energy among the computed polymorphs = 232 meV/atom
1.0
4.183 0.000 0.000
0.000 4.183 0.000
0.000 0.000 4.183
Li Be
2 6
Direct
0.000 0.000 0.000
0.500 0.500 0.500
0.000 0.250 0.500
0.000 0.750 0.500
0.250 0.500 0.000
0.500 0.000 0.250
0.500 0.000 0.750
0.750 0.500 0.000

***

[16]
Nd3GaS2 | Alexandria via LeMat-Bulk | PBE | optimized geometry; SG = Immm; DOS at the Fermi energy = 1.38 states/eV/cell; formation energy from raw total energies = -1.552 eV/atom
1.0
-2.034 2.938 6.370
2.034 -2.938 6.370
2.034 2.938 -6.370
Nd Ga S
3 1 2
Direct
0.000 0.000 0.000
0.325 0.325 0.000
0.675 0.675 0.000
0.500 0.000 0.500
0.165 0.665 0.500
0.835 0.335 0.500

***

[17]
BeOsBr3 | Alexandria via LeMat-Bulk | PBE | optimized geometry; SG = Pm-3m; DOS at the Fermi energy = 4.01 states/eV/cell; formation energy from raw total energies = 0.946 eV/atom
1.0
5.071 0.000 0.000
0.000 5.071 0.000
0.000 0.000 5.071
Be Os Br
1 1 3
Direct
0.000 0.000 0.000
0.500 0.500 0.500
0.000 0.500 0.500
0.500 0.000 0.500
0.500 0.500 0.000

***

[18]
Ca3HgPb3 | Alexandria via LeMat-Bulk | PBE | optimized geometry; SG = P2_13; DOS at the Fermi energy = 17.07 states/eV/cell; DFT total energy = -2.90 eV/atom
1.0
9.537 0.000 0.000
0.000 9.537 0.000
0.000 0.000 9.537
Ca Hg Pb
12 4 12
Direct
0.002 0.205 0.857
0.143 0.502 0.295
0.205 0.857 0.002
0.295 0.143 0.502
0.357 0.498 0.795
0.498 0.795 0.357
0.502 0.295 0.143
0.643 0.998 0.705
0.705 0.643 0.998
0.795 0.357 0.498
0.857 0.002 0.205
0.998 0.705 0.643
0.105 0.395 0.605
0.395 0.605 0.105
0.605 0.105 0.395
0.895 0.895 0.895
0.049 0.549 0.951
0.147 0.853 0.353
0.168 0.168 0.168
0.332 0.832 0.668
0.353 0.147 0.853
0.451 0.451 0.451
0.549 0.951 0.049
0.647 0.647 0.647
0.668 0.332 0.832
0.832 0.668 0.332
0.853 0.353 0.147
0.951 0.049 0.549

***

[19]
KSi2Pt | Alexandria via LeMat-Bulk | PBE | optimized geometry; SG = Imm2; DOS at the Fermi energy = 3.05 states/eV/cell; formation energy from raw total energies = 0.220 eV/atom
1.0
-2.082 3.191 3.903
2.082 -3.191 3.903
2.082 3.191 -3.903
K Si Pt
1 2 1
Direct
0.000 0.000 0.000
0.504 0.504 0.000
0.672 0.172 0.500
0.364 0.864 0.500

***

One value per record, in order, for total moment: 0.00, 0.00, 6.10, 2.74, 0.00, 0.00, 3.27, 0.58, 2.41, 0.00, 0.00, 0.01, 0.00, 0.00, 0.00, 0.00, 0.68, 0.00, 0.00 μB per formula unit.
One value per record, in order, for density: 9.74, 7.34, 11.07, 2.26, 1.62, 8.02, 5.63, 5.87, 7.24, 8.68, 7.82, 11.29, 2.72, 7.96, 1.54, 6.18, 5.59, 7.22, 4.65 g/cm³.